Density functional theory data (SCAN) for NiH3S at its PBEsol-relaxed geometry.

Computed properties:
Total moment (μB per atom): 0.00
SG: Pm-3m, No. 221
E (eV for the cell shown): -32.3

Lattice parameters (Å, degrees): 3.3244 3.3244 3.3244 90.00 90.00 90.00
Sites, in units of the cell vectors:
Ni1 0.0000 0.0000 0.0000
H1 0.0000 0.0000 0.5000
S1 0.5000 0.5000 0.5000
H2 0.5000 0.0000 0.0000
H3 0.0000 0.5000 0.0000